Record 1
LaPmMgZr PBE optimized geometry; symmetry = F-43m; calculated volume = 466 Å³ per cell; total energy = -19.3 eV per formula unit
1.0
7.7552 0.0000 0.0000
0.0000 7.7552 0.0000
0.0000 0.0000 7.7552
La Pm Mg Zr
4 4 4 4
Cartesian
0.0000 0.0000 0.0000
0.0000 3.8776 3.8776
3.8776 0.0000 3.8776
3.8776 3.8776 0.0000
0.0000 0.0000 3.8776
0.0000 3.8776 0.0000
3.8776 0.0000 0.0000
3.8776 3.8776 3.8776
1.9388 1.9388 1.9388
1.9388 5.8164 5.8164
5.8164 1.9388 5.8164
5.8164 5.8164 1.9388
1.9388 1.9388 5.8164
1.9388 5.8164 1.9388
5.8164 1.9388 1.9388
5.8164 5.8164 5.8164


Record 2
La7PrMg2 PBE optimized geometry; symmetry = Cmmm; calculated volume = 414 Å³ per cell; distance to the lowest polymorph of the same formula = 0.357 eV per atom; total energy = -37.8 eV per formula unit
1.0
4.5962 -8.4737 0.0000
4.5962 8.4737 0.0000
0.0000 0.0000 5.3141
La Pr Mg
7 1 2
Cartesian
0.0000 0.0000 0.0000
2.9084 1.9740 0.0000
4.5962 3.5632 2.6570
2.9084 -1.9740 0.0000
6.2840 1.9740 0.0000
4.5962 -3.5632 2.6570
6.2840 -1.9740 0.0000
4.5962 0.0000 2.6570
4.5962 5.1301 0.0000
4.5962 -5.1301 0.0000